No. 1
Below is crystalline Zn2NiTe at its relaxed geometry, with properties calculated at the PBE level.

For the offset from the most stable computed form, the calculation gives 372 meV per atom. The value obtained for the raw formation energy is 1.3 eV per formula unit. Its total magnetization is 0.0 Bohr magnetons per cell. Its uncorrected energy is -2.536 eV/atom. Its symmetry is I-42d.

Cell lengths 5.701, 5.701, 7.269 Å; angles 66.91, 66.91, 90.00 degrees
Sites, in units of the cell vectors:
Te 0.000 0.000 0.000
Te 0.750 0.250 0.500
Zn 0.375 0.422 0.750
Zn 0.875 0.828 0.750
Zn 0.578 0.125 0.250
Zn 0.172 0.625 0.250
Ni 0.250 0.750 0.500
Ni 0.500 0.500 0.000

---

No. 2
Below is crystalline LiNdHoSc at its relaxed geometry, with properties calculated at the PBE level.

For the formation energy, the calculation gives 148 meV per atom. Its total magnetization is 0.0 Bohr magnetons per cell. Its uncorrected energy is -4.250 eV/atom. Its symmetry is F-43m.

Cell lengths 5.390, 5.390, 5.390 Å; angles 60.00, 60.00, 60.00 degrees
Sites, in units of the cell vectors:
Nd 0.750 0.750 0.750
Ho 0.250 0.250 0.250
Sc 0.500 0.500 0.500
Li 0.000 0.000 0.000

---

Question: Look up the uncorrected energy of the first one.
Answer: -2.536 eV/atom

---

Question: The highest uncorrected energy belongs to which entry?
Answer: Zn2NiTe